A plane-wave DFT calculation with PBE was carried out for NaLiTl2F8 after structural relaxation.

Output
Raw total energy = -0.1498 hartree per atom
Energy relative to the elements, uncorrected = -25.973 eV per formula unit
Symmetry = No. 2

POSCAR file:
```
NaLiTl2F8
1.0
-0.2262 -3.7971 0.1819
5.0025 -0.3881 -2.2098
2.5637 0.1861 7.1427
Na Li Tl F
1 1 2 8
Cartesian
1.2818 0.0930 3.5714 Na
0.0000 0.0000 0.0000 Li
4.5048 -1.9653 4.3027 Tl
2.8351 -2.0338 0.8121 Tl
4.1028 -0.2219 0.3739 F
3.6795 -2.1931 -1.3811 F
1.3677 -3.8282 1.3191 F
3.2372 -3.7772 4.7409 F
3.6605 -1.8060 6.4959 F
5.9723 -0.1709 3.7957 F
4.9001 -2.0935 2.1183 F
2.4399 -1.9056 2.9965 F
```